[1]
Material: Dy12Si5S28
Method: DFT, PBE-GGA
State: relaxed

Results
- Magnetization: 0.00 μB/cell
- DOS at the Fermi energy: 0.000 states/eV per atom

Cell lengths 9.789, 11.501, 11.343 Å; angles 120.38, 115.54, 90.00 degrees
Sites, in units of the cell vectors:
1 Dy 0.221 0.305 0.348
2 Dy 0.868 0.465 0.217
3 Dy 0.351 0.421 0.128
4 Dy 0.656 0.064 0.874
5 Dy 0.140 0.501 0.777
6 Dy 0.364 0.952 0.138
7 Dy 0.870 0.003 0.237
8 Dy 0.768 0.703 0.633
9 Dy 0.223 0.792 0.366
10 Dy 0.129 0.017 0.782
11 Dy 0.634 0.541 0.859
12 Dy 0.779 0.179 0.648
13 S 0.529 0.222 0.434
14 S 0.097 0.307 0.842
15 S 0.578 0.550 0.095
16 S 0.909 0.734 0.138
17 S 0.906 0.216 0.167
18 S 0.420 0.199 0.894
19 S 0.745 0.336 0.901
20 S 0.587 0.064 0.111
21 S 0.264 0.181 0.099
22 S 0.339 0.851 0.681
23 S 0.105 0.517 0.529
24 S 0.834 0.996 0.733
25 S 0.896 0.736 0.461
26 S 0.511 0.704 0.396
27 S 0.763 0.844 0.914
28 S 0.421 0.700 0.900
29 S 0.225 0.710 0.090
30 S 0.665 0.927 0.327
31 S 0.149 0.005 0.238
32 S 0.893 0.252 0.494
33 S 0.160 0.514 0.257
34 S 0.327 0.337 0.653
35 S 0.089 0.811 0.850
36 S 0.863 0.554 0.774
37 S 0.481 0.548 0.585
38 S 0.473 0.037 0.576
39 S 0.669 0.433 0.338
40 S 0.103 0.012 0.521
41 Si 0.667 0.252 0.342
42 Si 0.665 0.741 0.322
43 Si 0.334 0.662 0.670
44 Si 0.333 0.158 0.664
45 Si 0.998 0.777 0.000

***

[2]
Material: Dy2Si2S7
Method: DFT, PBE-GGA
State: relaxed

Results
- Magnetization: 0.00 μB/cell
- DOS at the Fermi energy: 0.000 states/eV per atom

Cell lengths 5.871, 6.960, 6.960 Å; angles 102.28, 97.44, 97.44 degrees
Sites, in units of the cell vectors:
1 S 0.000 0.000 0.000
2 S 0.774 0.604 0.604
3 S 0.277 0.918 0.587
4 S 0.723 0.413 0.082
5 S 0.277 0.587 0.918
6 S 0.723 0.082 0.413
7 S 0.226 0.396 0.396
8 Si 0.911 0.225 0.225
9 Si 0.089 0.775 0.775
10 Dy 0.500 0.303 0.697
11 Dy 0.500 0.697 0.303

***

[3]
Material: DySiS
Method: DFT, PBE-GGA
State: relaxed

Results
- Magnetization: 0.00 μB/cell
- DOS at the Fermi energy: 0.319 states/eV per atom

Cell lengths 3.704, 3.704, 9.235 Å; angles 101.57, 101.57, 90.00 degrees
Sites, in units of the cell vectors:
1 Dy 0.354 0.354 0.707
2 Dy 0.646 0.646 0.293
3 Si 0.500 0.000 0.000
4 Si 0.000 0.500 0.000
5 S 0.189 0.189 0.377
6 S 0.811 0.811 0.623

***

[4]
Material: Dy5Si2S2
Method: DFT, PBE-GGA
State: relaxed

Results
- Magnetization: 0.00 μB/cell
- DOS at the Fermi energy: 0.653 states/eV per atom

Cell lengths 7.505, 7.403, 8.011 Å; angles 117.52, 90.00, 90.00 degrees
Sites, in units of the cell vectors:
1 Dy 0.663 0.310 0.278
2 Dy 0.337 0.968 0.278
3 Dy 0.000 0.000 0.000
4 Dy 0.163 0.190 0.722
5 Dy 0.500 0.500 0.000
6 Dy 0.663 0.032 0.722
7 Dy 0.837 0.532 0.722
8 Dy 0.837 0.810 0.278
9 Dy 0.337 0.690 0.722
10 Dy 0.163 0.468 0.278
11 S 0.000 0.803 0.606
12 S 0.500 0.303 0.606
13 S 0.500 0.697 0.394
14 S 0.000 0.197 0.394
15 Si 0.376 0.124 0.000
16 Si 0.124 0.624 0.000
17 Si 0.876 0.376 0.000
18 Si 0.624 0.876 0.000

***

[5]
Material: Dy7SiS5
Method: DFT, PBE-GGA
State: relaxed

Results
- Magnetization: 0.00 μB/cell
- DOS at the Fermi energy: 0.489 states/eV per atom

Cell lengths 3.931, 6.682, 23.128 Å; angles 90.01, 90.00, 107.10 degrees
Sites, in units of the cell vectors:
1 Dy 0.188 0.376 0.178
2 Dy 0.907 0.815 0.386
3 Dy 0.813 0.625 0.678
4 Dy 0.908 0.815 0.114
5 Dy 0.813 0.625 0.822
6 Dy 0.363 0.725 0.537
7 Dy 0.363 0.726 0.963
8 Dy 0.093 0.186 0.614
9 Dy 0.638 0.275 0.463
10 Dy 0.638 0.276 0.037
11 Dy 0.467 0.934 0.250
12 Dy 0.093 0.186 0.886
13 Dy 0.533 0.067 0.750
14 Dy 0.188 0.376 0.322
15 S 0.452 0.904 0.642
16 S 0.000 0.000 0.500
17 S 0.726 0.451 0.571
18 S 0.549 0.097 0.358
19 S 0.275 0.549 0.429
20 S 0.275 0.550 0.071
21 S 0.726 0.452 0.929
22 S 0.452 0.904 0.858
23 S 0.000 0.001 0.000
24 S 0.549 0.098 0.142
25 Si 0.195 0.391 0.750
26 Si 0.805 0.611 0.250

***

[6]
Material: Dy8SiTe4S3
Method: DFT, PBE-GGA
State: relaxed

Results
- Magnetization: 0.00 μB/cell
- DOS at the Fermi energy: 0.314 states/eV per atom

Cell lengths 8.197, 8.467, 8.196 Å; angles 118.95, 120.00, 90.00 degrees
Sites, in units of the cell vectors:
1 Dy 0.265 0.295 0.530
2 Dy 0.764 0.291 0.528
3 Dy 0.735 0.705 0.470
4 Dy 0.764 0.291 0.027
5 Dy 0.263 0.291 0.027
6 Dy 0.236 0.709 0.472
7 Dy 0.737 0.709 0.973
8 Dy 0.236 0.709 0.973
9 Te 0.000 0.000 0.000
10 Te 0.500 0.000 0.500
11 Te 0.000 0.000 0.500
12 Te 0.500 0.000 0.000
13 Si 0.000 0.500 0.000
14 S 0.500 0.500 0.000
15 S 0.000 0.500 0.500
16 S 0.500 0.500 0.500

***

[7]
Material: Dy8Si3Te3S
Method: DFT, PBE-GGA
State: relaxed

Results
- Magnetization: 0.00 μB/cell
- DOS at the Fermi energy: 0.580 states/eV per atom

Cell lengths 8.308, 8.307, 8.460 Å; angles 119.41, 90.00, 120.00 degrees
Sites, in units of the cell vectors:
1 Si 0.500 0.000 0.500
2 Si 0.500 0.500 0.500
3 Si 0.000 0.500 0.500
4 Dy 0.266 0.023 0.279
5 Dy 0.244 0.487 0.721
6 Dy 0.756 0.513 0.279
7 Dy 0.740 0.480 0.720
8 Dy 0.756 0.023 0.279
9 Dy 0.244 0.977 0.721
10 Dy 0.734 0.977 0.721
11 Dy 0.260 0.520 0.280
12 Te 0.000 0.000 0.000
13 Te 0.000 0.500 0.000
14 Te 0.500 0.500 0.000
15 S 0.000 0.000 0.500

***

[8]
Material: Dy8SiTe3S3
Method: DFT, PBE-GGA
State: relaxed

Results
- Magnetization: 0.00 μB/cell
- DOS at the Fermi energy: 0.384 states/eV per atom

Cell lengths 8.096, 8.096, 8.383 Å; angles 118.88, 90.00, 120.00 degrees
Sites, in units of the cell vectors:
1 Dy 0.266 0.532 0.297
2 Dy 0.734 0.468 0.703
3 Dy 0.759 0.518 0.285
4 Dy 0.241 0.482 0.715
5 Dy 0.733 0.974 0.715
6 Dy 0.241 0.974 0.715
7 Dy 0.759 0.026 0.285
8 Dy 0.267 0.026 0.285
9 S 0.500 0.500 0.500
10 S 0.500 0.000 0.500
11 S 0.000 0.500 0.500
12 Si 0.000 0.000 0.500
13 Te 0.500 0.500 0.000
14 Te 0.000 0.000 0.000
15 Te 0.000 0.500 0.000

***

[9]
Material: Dy4SiTe2S
Method: DFT, PBE-GGA
State: relaxed

Results
- Magnetization: 0.00 μB/cell
- DOS at the Fermi energy: 0.402 states/eV per atom

Cell lengths 4.150, 7.140, 7.460 Å; angles 108.90, 90.00, 90.00 degrees
Sites, in units of the cell vectors:
1 Dy 0.000 0.264 0.785
2 Dy 0.000 0.736 0.215
3 Dy 0.500 0.240 0.211
4 Dy 0.500 0.760 0.789
5 Te 0.500 0.000 0.500
6 Te 0.000 0.500 0.500
7 Si 0.500 0.500 0.000
8 S 0.000 0.000 0.000

***

[10]
Material: Dy6Si2Te3S
Method: DFT, PBE-GGA
State: relaxed

Results
- Magnetization: 0.00 μB/cell
- DOS at the Fermi energy: 0.353 states/eV per atom

Cell lengths 4.170, 8.538, 9.508 Å; angles 104.99, 102.67, 90.00 degrees
Sites, in units of the cell vectors:
1 Dy 0.010 0.232 0.019
2 Dy 0.990 0.768 0.981
3 Dy 0.327 0.436 0.653
4 Dy 0.660 0.103 0.321
5 Dy 0.340 0.897 0.679
6 Dy 0.673 0.564 0.347
7 Si 0.834 0.670 0.668
8 Si 0.166 0.330 0.332
9 Te 0.165 0.834 0.330
10 Te 0.835 0.166 0.670
11 Te 0.500 0.500 0.000
12 S 0.500 0.000 0.000

***

[11]
Material: DyThSiS
Method: DFT, PBE-GGA
State: relaxed

Results
- Magnetization: 0.00 μB/cell
- DOS at the Fermi energy: 0.475 states/eV per atom

Cell lengths 4.139, 4.139, 7.016 Å; angles 72.85, 72.85, 60.00 degrees
Sites, in units of the cell vectors:
1 Th 0.193 0.193 0.421
2 Dy 0.695 0.695 0.916
3 S 0.947 0.947 0.159
4 Si 0.442 0.442 0.675

***

[12]
Material: DyTmSiS
Method: DFT, PBE-GGA
State: relaxed

Results
- Magnetization: 0.00 μB/cell
- DOS at the Fermi energy: 0.393 states/eV per atom

Cell lengths 3.982, 3.982, 6.990 Å; angles 73.45, 73.45, 60.00 degrees
Sites, in units of the cell vectors:
1 S 0.445 0.445 0.664
2 Dy 0.693 0.693 0.920
3 Si 0.943 0.943 0.171
4 Tm 0.195 0.195 0.416

***

Record-wise energy relative to the elements, uncorrected values, in eV per formula unit: -71.701 -12.628 -3.761 -10.788 -21.810 -24.696 -16.547 -21.466 -11.302 -15.749 -5.263 -5.415